1.
{"formula": "CuIr4", "functional": "GGA-PBEsol", "state": "optimized geometry", "lattice_angstrom": [[3.7975, 0.0000, 0.0000], [1.8987, 4.2349, 0.0000], [1.8987, 0.0000, 4.2349]], "species": ["Ir", "Ir", "Ir", "Cu", "Ir"], "fractional_positions": [[0.3965, 0.8016, 0.4053], [0.1982, 0.4053, 0.1984], [0.6035, 0.1984, 0.5947], [0.0000, 0.0000, 0.0000], [0.8018, 0.5947, 0.8016]], "magmom_total_mub_per_cell": 0.00, "sg": "I4/m (87)", "crystal_system": "tetragonal", "energy_ry_per_atom": -0.6360, "delta_e_f_mev_per_atom": 72}

=====

2.
{"formula": "KCrMo", "functional": "GGA-PBEsol", "state": "optimized geometry", "lattice_angstrom": [[-2.7743, -0.0435, 1.3079], [0.5434, -1.6912, -2.5007], [2.1698, -5.8223, 4.4091]], "species": ["Mo", "Cr", "K"], "fractional_positions": [[0.6667, 0.3333, 0.2620], [0.0000, 0.0000, 0.0674], [0.3333, 0.6667, 0.6706]], "magmom_total_mub_per_cell": 0.00, "sg": "P3m1 (156)", "crystal_system": "trigonal", "energy_ry_per_atom": -0.4873, "e_above_lowest_polymorph_ev_per_atom": 0.000, "delta_e_f_mev_per_atom": 1085}

=====

3.
{"formula": "Ga2HgBi2", "functional": "GGA-PBEsol", "state": "optimized geometry", "lattice_angstrom": [[3.4438, 0.0000, 0.0000], [0.0000, 8.6358, 0.0000], [0.0000, 0.0000, 8.6358]], "species": ["Ga", "Ga", "Hg", "Hg", "Bi", "Ga", "Bi", "Bi", "Ga", "Bi"], "fractional_positions": [[0.5000, 0.6373, 0.8627], [0.5000, 0.3627, 0.1373], [0.0000, 0.5000, 0.5000], [0.0000, 0.0000, 0.0000], [0.0000, 0.6597, 0.1597], [0.5000, 0.8627, 0.3627], [0.0000, 0.3403, 0.8403], [0.0000, 0.1597, 0.3403], [0.5000, 0.1373, 0.6373], [0.0000, 0.8403, 0.6597]], "magmom_total_mub_per_cell": 0.00, "sg": "P4/mbm (127)", "crystal_system": "tetragonal", "energy_ry_per_atom": -0.2248, "e_above_lowest_polymorph_ev_per_atom": 0.026, "delta_e_f_mev_per_atom": 105}

=====

4.
{"formula": "Fe2PtRh", "functional": "GGA-PBEsol", "state": "optimized geometry", "lattice_angstrom": [[2.6683, 0.0000, 0.0000], [1.3341, 2.3108, 0.0000], [1.3341, 0.7703, 8.4752]], "species": ["Pt", "Fe", "Rh", "Fe"], "fractional_positions": [[0.4964, 0.4964, 0.5109], [0.7465, 0.7465, 0.7606], [0.2557, 0.2557, 0.2328], [0.0014, 0.0014, 0.9957]], "magmom_total_mub_per_cell": 6.01, "sg": "R3m (160)", "crystal_system": "trigonal", "energy_ry_per_atom": -0.6043, "delta_e_f_mev_per_atom": 36}